[1]
Here is a relaxed structure of KLiV3 from Alexandria. Energies are from PBE.

```
KLiV3
1.0
4.341 0.000 0.000
0.000 4.341 0.000
0.000 0.000 4.341
K Li V
1 1 3
Direct
0.000 0.000 0.000 K
0.500 0.500 0.500 Li
0.000 0.000 0.500 V
0.000 0.500 0.000 V
0.500 0.000 0.000 V
```

Computed properties:
ΔH_f (0 K) = 2.49 eV per atom
space group = No. 221
polymorph energy (0 for the lowest one) = 0.8372 eV per atom

[2]
Here is a relaxed structure of RbUAuSe4 from Alexandria. Energies are from PBE.

```
RbUAuSe4
1.0
6.714 0.000 0.000
0.000 6.822 0.000
-0.917 0.000 9.026
Rb U Au Se
2 2 2 8
Direct
0.227 0.250 0.030 Rb
0.773 0.750 0.970 Rb
0.196 0.750 0.450 U
0.804 0.250 0.550 U
0.326 0.250 0.634 Au
0.674 0.750 0.366 Au
0.074 0.522 0.693 Se
0.074 0.978 0.693 Se
0.345 0.750 0.185 Se
0.452 0.250 0.380 Se
0.548 0.750 0.620 Se
0.655 0.250 0.815 Se
0.926 0.022 0.307 Se
0.926 0.478 0.307 Se
```

Computed properties:
E_form (uncorrected) = -0.785 eV per atom
space group = No. 11

[3]
Here is a relaxed structure of Ca2MoP from Alexandria. Energies are from PBE.

```
Ca2MoP
1.0
1.842 1.063 8.794
-1.842 1.063 8.794
0.000 -2.127 8.794
Ca Mo P
2 1 1
Direct
0.000 0.000 0.000 Ca
0.199 0.199 0.199 Ca
0.756 0.756 0.756 Mo
0.464 0.464 0.464 P
```

Computed properties:
ΔH_f (0 K) = -0.17 eV per atom
space group = No. 160

[4]
Here is a relaxed structure of Ti5CuNi8 from Alexandria. Energies are from PBE.

```
Ti5CuNi8
1.0
-3.409 3.409 4.037
3.409 -3.409 4.037
3.409 3.409 -4.037
Ti Cu Ni
5 1 8
Direct
0.000 0.000 0.000 Ti
0.146 0.050 0.580 Ti
0.434 0.854 0.903 Ti
0.470 0.566 0.420 Ti
0.950 0.530 0.097 Ti
0.750 0.250 0.500 Cu
0.085 0.359 0.414 Ni
0.222 0.474 0.916 Ni
0.329 0.915 0.273 Ni
0.526 0.441 0.748 Ni
0.559 0.306 0.084 Ni
0.641 0.056 0.727 Ni
0.694 0.778 0.252 Ni
0.944 0.671 0.586 Ni
```

Computed properties:
ΔH_f (0 K) = -0.20 eV per atom
space group = No. 82

[5]
Here is a relaxed structure of La8Nd2Cd from Alexandria. Energies are from PBE.

```
La8Nd2Cd
1.0
9.235 -3.450 0.000
9.235 3.450 0.000
-1.475 0.000 6.033
La Nd Cd
8 2 1
Direct
0.036 0.036 0.283 La
0.085 0.609 0.021 La
0.391 0.915 0.979 La
0.404 0.404 0.484 La
0.596 0.596 0.516 La
0.609 0.085 0.021 La
0.915 0.391 0.979 La
0.964 0.964 0.717 La
0.223 0.223 0.534 Nd
0.777 0.777 0.466 Nd
0.500 0.500 0.000 Cd
```

Computed properties:
ΔH_f (0 K) = 0.04 eV per atom
space group = No. 12
polymorph energy (0 for the lowest one) = 0.0392 eV per atom

[6]
Here is a relaxed structure of LiPr3Nd4S8 from Alexandria. Energies are from PBE.

```
LiPr3Nd4S8
1.0
4.065 2.347 6.636
-4.065 2.347 6.636
0.000 -4.694 6.636
Li Pr Nd S
1 3 4 8
Direct
0.000 0.000 0.000 Li
0.000 0.500 0.500 Pr
0.500 0.000 0.500 Pr
0.500 0.500 0.000 Pr
0.000 0.000 0.500 Nd
0.000 0.500 0.000 Nd
0.500 0.000 0.000 Nd
0.500 0.500 0.500 Nd
0.242 0.756 0.756 S
0.244 0.244 0.758 S
0.244 0.758 0.244 S
0.249 0.249 0.249 S
0.751 0.751 0.751 S
0.756 0.242 0.756 S
0.756 0.756 0.242 S
0.758 0.244 0.244 S
```

Computed properties:
E_form (uncorrected) = -1.960 eV per atom
space group = No. 166

[7]
Here is a relaxed structure of Tb3PrRh4 from Alexandria. Energies are from PBE.

```
Tb3PrRh4
1.0
2.452 1.416 8.056
-2.452 1.416 8.056
0.000 -2.831 8.056
Tb Pr Rh
3 1 4
Direct
0.000 0.000 0.000 Tb
0.252 0.252 0.252 Tb
0.748 0.748 0.748 Tb
0.500 0.500 0.500 Pr
0.122 0.122 0.122 Rh
0.373 0.373 0.373 Rh
0.627 0.627 0.627 Rh
0.878 0.878 0.878 Rh
```

Computed properties:
ΔH_f (0 K) = -0.78 eV per atom
space group = No. 166

[8]
Here is a relaxed structure of Ti2ZnMoH from Alexandria. Energies are from PBE.

```
Ti2ZnMoH
1.0
4.191 0.000 0.000
0.000 4.191 0.000
0.000 0.000 3.702
Ti Zn Mo H
2 1 1 1
Direct
0.000 0.500 0.000 Ti
0.500 0.000 0.000 Ti
0.000 0.000 0.500 Zn
0.500 0.500 0.500 Mo
0.500 0.500 0.000 H
```

Computed properties:
space group = No. 123
polymorph energy (0 for the lowest one) = 0.0000 eV per atom

[9]
Here is a relaxed structure of Nb6GaSn2 from Alexandria. Energies are from PBE.

```
Nb6GaSn2
1.0
7.328 -4.105 0.000
7.328 4.105 0.000
-0.309 0.000 2.859
Nb Ga Sn
6 1 2
Direct
0.165 0.508 0.653 Nb
0.181 0.819 0.000 Nb
0.492 0.835 0.347 Nb
0.508 0.165 0.653 Nb
0.819 0.181 0.000 Nb
0.835 0.492 0.347 Nb
0.500 0.500 0.500 Ga
0.169 0.169 0.859 Sn
0.831 0.831 0.141 Sn
```

Computed properties:
ΔH_f (0 K) = 0.04 eV per atom
space group = No. 12

[10]
Here is a relaxed structure of La2TbMg from Alexandria. Energies are from PBE.

```
La2TbMg
1.0
3.803 0.000 0.000
0.000 3.803 0.000
0.000 0.000 9.150
La Tb Mg
2 1 1
Direct
0.000 0.000 0.232 La
0.000 0.000 0.768 La
0.500 0.500 0.500 Tb
0.500 0.500 0.000 Mg
```

Computed properties:
ΔH_f (0 K) = -0.03 eV per atom
space group = No. 123
polymorph energy (0 for the lowest one) = 0.0111 eV per atom

[11]
Here is a relaxed structure of Sm4YSe6 from Alexandria. Energies are from PBE.

```
Sm4YSe6
1.0
2.023 -6.853 0.000
2.023 6.853 0.000
0.000 0.000 21.126
Sm Y Se
8 2 12
Direct
0.088 0.912 0.628 Sm
0.088 0.912 0.872 Sm
0.359 0.641 0.539 Sm
0.359 0.641 0.961 Sm
0.641 0.359 0.039 Sm
0.641 0.359 0.461 Sm
0.912 0.088 0.128 Sm
0.912 0.088 0.372 Sm
0.154 0.846 0.250 Y
0.846 0.154 0.750 Y
0.000 0.000 0.000 Se
0.000 0.000 0.500 Se
0.195 0.805 0.750 Se
0.270 0.730 0.091 Se
0.270 0.730 0.409 Se
0.444 0.556 0.669 Se
0.444 0.556 0.831 Se
0.556 0.444 0.169 Se
0.556 0.444 0.331 Se
0.730 0.270 0.591 Se
0.730 0.270 0.909 Se
0.805 0.195 0.250 Se
```

Computed properties:
E_form (uncorrected) = -1.840 eV per atom
space group = No. 63

[12]
Here is a relaxed structure of Sr2TiVMo from Alexandria. Energies are from PBE.

```
Sr2TiVMo
1.0
5.903 0.000 0.000
0.000 5.903 0.000
0.000 0.000 4.584
Sr Ti V Mo
2 1 1 1
Direct
0.000 0.500 0.000 Sr
0.500 0.000 0.000 Sr
0.000 0.000 0.500 Ti
0.500 0.500 0.500 V
0.000 0.000 0.000 Mo
```

Computed properties:
ΔH_f (0 K) = 1.56 eV per atom
space group = No. 123

| no. | DFT total energy (eV per cell) |
| --- | --- |
| 1 | -17.9 |
| 2 | -69.9 |
| 3 | -20.9 |
| 4 | -92.6 |
| 5 | -49.4 |
| 6 | -99.7 |
| 7 | -54.3 |
| 8 | -32.2 |
| 9 | -71.1 |
| 10 | -16.2 |
| 11 | -133.0 |
| 12 | -23.4 |